Computed, not measured: HoEr3Sb4 after structural relaxation at the GGA-PBE level of DFT.

Space group: Pm-3m
Calculated total energy: -0.200 hartree per atom
M_tot: 0.00 μB per formula unit

Cell and atoms, written as extended XYZ:
```
8
Lattice="-5.371 -2.530 1.623 2.985 -4.100 3.487 -0.352 3.829 4.805" Properties=species:S:1:pos:R:3 pbc="T T T"
Er -1.193 -3.315 2.555
Er -2.862 0.650 3.214
Er 1.316 -0.135 4.146
Ho 0.000 0.000 0.000
Sb -2.685 -1.265 0.811
Sb 1.493 -2.050 1.743
Sb -0.176 1.915 2.403
Sb -1.369 -1.401 4.957
```